1.
{
  "formula": "Hg2BiIBr",
  "functional": "PBE",
  "state": "relaxed",
  "lattice": [[-4.8723, 2.5267, -2.3260], [-0.0793, -4.1139, -4.3027], [-3.4334, -3.4903, 3.4005]],
  "species": ["I", "Hg", "Br", "Bi", "Hg"],
  "frac_coords": [[0.0000, 0.5000, 0.0000], [0.0000, 0.0000, 0.5000], [0.5000, 0.5000, 0.5000], [0.0000, 0.0000, 0.0000], [0.5000, 0.0000, 0.0000]],
  "dft_energy_ev_per_atom": -1.557
}

2.
{
  "formula": "Mg2InH",
  "functional": "PBE",
  "state": "relaxed",
  "lattice": [[7.8302, 0.0000, -0.0336], [0.0000, 3.3344, 0.0000], [-0.0912, 0.0000, 5.5900]],
  "species": ["Mg", "Mg", "In", "H", "Mg", "H", "In", "Mg"],
  "frac_coords": [[0.0910, 0.5000, 0.2638], [0.7342, 0.0000, 0.4280], [0.4153, 0.5000, 0.5941], [0.8227, 0.0000, 0.7664], [0.7342, 0.5000, 0.9280], [0.8227, 0.5000, 0.2664], [0.4153, 0.0000, 0.0941], [0.0910, 0.0000, 0.7638]],
  "relative_energy_ev_per_atom": 0.090
}

3.
{
  "formula": "MgInOF2",
  "functional": "PBE",
  "state": "relaxed",
  "lattice": [[-3.8017, 1.0704, -1.9460], [1.1036, -2.4374, -3.4967], [-1.8035, -3.2816, 1.7182]],
  "species": ["F", "In", "Mg", "O", "F"],
  "frac_coords": [[0.5000, 0.0000, 0.0000], [0.0000, 0.0000, 0.0000], [0.5000, 0.5000, 0.5000], [0.0000, 0.0000, 0.5000], [0.0000, 0.5000, 0.0000]],
  "relative_energy_ev_per_atom": 0.588
}

We obtain D(E_F) values of 0.40, 0.40, 0.35 states/eV per atom for the records listed above, in that order.
We obtain total magnetic moment values of 0.0, 0.0, 0.0 μB/cell for the records listed above, in that order.